VASP calculation (GGA-PBE) on a geometry-optimized Ce2GaBr structure.

Properties
Symmetry = R-3m

Cell and atoms, written as POSCAR:
```
Ce2GaBr
1.0
4.371 0.000 0.000
2.186 3.786 0.000
2.186 1.262 6.655
Ga Br Ce
1 1 2
Direct
0.000 0.000 0.000
0.500 0.500 0.500
0.253 0.253 0.241
0.747 0.747 0.759
```

VASP calculation (GGA-PBE) on a geometry-optimized Zn2Ag2Cl structure.

Properties
Symmetry = I4/mmm

Cell and atoms, written as POSCAR:
```
Zn2Ag2Cl
1.0
3.939 0.000 0.000
0.000 3.939 0.000
1.969 1.969 6.480
Zn Ag Cl
2 2 1
Direct
0.403 0.403 0.194
0.597 0.597 0.806
0.750 0.250 0.500
0.250 0.750 0.500
0.000 0.000 0.000
```

Here are the calculated formation energy (no corrections) numbers, same order: -3.00, -0.02 (eV/f.u.).
Here are the calculated DOS(E_F) numbers, same order: 2.768, 0.491 (states/eV/atom).
Here are the calculated total energy numbers, same order: -19.57, -10.11 (eV per cell).